A geometry-optimized ZrSbPb2 structure. Source: the Alexandria database, functional PBE.

Summary:
V	107	Å³/f.u.
uncorrected energy	-4.899	eV per atom
space group	Cmmm (65)
ΔE_f (raw)	11.86	kJ/mol of atoms
DOS at the Fermi energy	2.92	states/eV/cell

Cell: 3.422 3.422 9.399 Å, 90.00 90.00 103.03°
Fractional coordinates of all 4 atoms:
Pb: 0.000 0.000 0.985
Pb: 0.000 0.000 0.515
Sb: 0.500 0.500 0.250
Zr: 0.500 0.500 0.750



A geometry-optimized ZrSbPb2 structure. Source: the Alexandria database, functional PBE.

Summary:
V	119	Å³/f.u.
uncorrected energy	-5.134	eV per atom
space group	Immm (71)
ΔE_f (raw)	-10.81	kJ/mol of atoms
DOS at the Fermi energy	2.33	states/eV/cell

Cell: 7.978 7.978 4.737 Å, 72.70 72.70 24.40°
Fractional coordinates of all 4 atoms:
Pb: 0.059 0.059 0.940
Pb: 0.441 0.441 0.560
Sb: 0.250 0.250 0.250
Zr: 0.750 0.750 0.750



A geometry-optimized ZrSb2Pb structure. Source: the Alexandria database, functional PBE.

Summary:
V	117	Å³/f.u.
uncorrected energy	-5.351	eV per atom
space group	R3m (160)
ΔE_f (raw)	-21.74	kJ/mol of atoms
DOS at the Fermi energy	2.41	states/eV/cell

Cell: 4.091 4.091 8.416 Å, 75.93 75.93 60.00°
Fractional coordinates of all 4 atoms:
Zr: 0.667 0.667 0.000
Sb: 0.072 0.072 0.784
Sb: 0.259 0.259 0.224
Pb: 0.503 0.503 0.492



A geometry-optimized ZrSb2Pb structure. Source: the Alexandria database, functional PBE.

Summary:
V	159	Å³/f.u.
uncorrected energy	-5.085	eV per atom
space group	I-42d (122)
ΔE_f (raw)	3.91	kJ/mol of atoms
DOS at the Fermi energy	1.16	states/eV/cell

Cell: 6.841 6.841 8.348 Å, 65.81 65.81 90.00°
Fractional coordinates of all 8 atoms:
Zr: 0.500 0.500 0.000
Zr: 0.250 0.750 0.500
Sb: 0.375 0.411 0.750
Sb: 0.589 0.125 0.250
Sb: 0.875 0.839 0.750
Sb: 0.161 0.625 0.250
Pb: 0.750 0.250 0.500
Pb: 0.000 0.000 0.000



A geometry-optimized ZrSbPb2 structure. Source: the Alexandria database, functional PBE.

Summary:
V	106	Å³/f.u.
uncorrected energy	-4.980	eV per atom
space group	Cmmm (65)
ΔE_f (raw)	4.00	kJ/mol of atoms
DOS at the Fermi energy	2.25	states/eV/cell

Cell: 5.835 5.835 3.298 Å, 90.00 90.00 108.80°
Fractional coordinates of all 4 atoms:
Zr: 0.000 0.500 0.500
Pb: 0.500 0.500 0.000
Pb: 0.000 0.000 0.000
Sb: 0.500 0.000 0.500



A geometry-optimized ZrSb2Pb structure. Source: the Alexandria database, functional PBE.

Summary:
V	104	Å³/f.u.
uncorrected energy	-5.151	eV per atom
space group	P4/mmm (123)
ΔE_f (raw)	-2.49	kJ/mol of atoms
DOS at the Fermi energy	3.93	states/eV/cell

Cell: 3.860 5.186 5.186 Å, 90.00 90.00 90.00°
Fractional coordinates of all 4 atoms:
Sb: 0.000 0.000 0.000
Sb: 0.000 0.500 0.500
Pb: 0.500 0.000 0.500
Zr: 0.500 0.500 0.000



Total magnetic moment values (in μB/f.u.) by entry order: 0.00, 0.00, 0.00, 0.00, 0.00, 0.00.